1.
A plane-wave DFT calculation with PBE was carried out for GdBiIr4 after structural relaxation.

Output
calculated formation energy = -0.2685 eV per atom
space group = F-43m
magnetization = 6.92 Bohr magnetons per cell
theoretical density = 16.96 g cm⁻³

Cell lengths 5.396, 5.396, 5.396 Å; angles 60.00, 60.00, 60.00 degrees
Site moments in Bohr magnetons follow the coordinates.
Fractional positions:
Gd1 0.250 0.250 0.250  6.94
Ir1 0.625 0.625 0.124  -0.03
Ir2 0.625 0.124 0.625  -0.03
Ir3 0.625 0.625 0.625  -0.03
Ir4 0.124 0.625 0.625  -0.03
Bi1 0.000 0.000 0.000  0.01

=====

2.
A plane-wave DFT calculation with PBE was carried out for BeAl2Hg after structural relaxation.

Output
distance to the lowest polymorph of the same formula = 222 meV/atom
calculated formation energy = 0.4866 eV per atom
space group = F-43m
magnetization = 0.00 Bohr magnetons per cell
theoretical density = 6.41 g cm⁻³

Cell lengths 4.588, 4.588, 4.588 Å; angles 60.00, 60.00, 60.00 degrees
Fractional positions:
Be1 0.500 0.500 0.500
Hg1 0.750 0.750 0.750
Al1 0.000 0.000 0.000
Al2 0.250 0.250 0.250